No. 1
DFT (GGA-PBEsol) results for NiAg5 after structural relaxation.

extended XYZ file:
```
6
Lattice="5.206 0.000 0.000 -2.603 4.509 0.000 0.000 0.000 4.648" Properties=species:S:1:pos:R:3 pbc="T T T"
Ni 0.000 0.000 0.000
Ag -1.302 2.254 2.324
Ag 0.000 3.006 0.000
Ag 2.603 0.000 2.324
Ag 1.302 2.254 2.324
Ag 2.603 1.503 0.000
```

Energy relative to the elements: 0.5357 eV per atom
Distance to the lowest polymorph of the same formula: 236 kJ/mol of formula units

=====

No. 2
DFT (GGA-PBEsol) results for Co2TcW after structural relaxation.

extended XYZ file:
```
4
Lattice="2.604 0.000 0.000 0.000 4.169 0.000 0.000 0.000 4.511" Properties=species:S:1:pos:R:3 pbc="T T T"
Co 0.000 0.000 0.000
Co 0.000 2.084 1.478
Tc 1.302 2.084 3.845
W 1.302 0.000 2.225
```

Energy relative to the elements: -0.0582 eV per atom
Distance to the lowest polymorph of the same formula: 0 kJ/mol of formula units

=====

No. 3
DFT (GGA-PBEsol) results for KRuBr2 after structural relaxation.

extended XYZ file:
```
4
Lattice="3.638 0.000 0.000 0.000 3.638 0.000 0.000 0.000 7.890" Properties=species:S:1:pos:R:3 pbc="T T T"
K 0.000 0.000 0.000
Ru 1.819 1.819 3.660
Br 0.000 0.000 3.119
Br 1.819 1.819 6.230
```

Uncorrected formation energy: -4 kJ per mole of atoms

=====

Number 1: size of the total moment 0.09 μB/atom, total energy -3.2499 eV per atom. Number 2: size of the total moment 0.00 μB/atom, total energy -10.1953 eV per atom. Number 3: size of the total moment 0.46 μB/atom, total energy -3.8043 eV per atom.